1.
Entry from the Alexandria database: an optimized crystal structure of Rb2SnN (GGA-PBE).

a = 12.6227 Å, b = 12.6227 Å, c = 9.1844 Å
α = 46.59°, β = 46.59°, γ = 90.00°
Last column: nearest neighbours and their distance in Å.
Fractional coordinates of all 8 atoms:
Rb 0.3332 0.6250 0.2500  2 N 3.24, 2 Sn 3.59
Sn 0.0000 0.0000 0.0000  2 N 2.16
Rb 0.8750 0.6668 0.7500  2 N 3.24, 2 Sn 3.59
N 0.2500 0.7500 0.5000  2 Sn 2.16
Rb 0.4168 0.1250 0.2500  2 N 3.24, 2 Sn 3.59
N 0.5000 0.5000 0.0000  2 Sn 2.16
Sn 0.7500 0.2500 0.5000  2 N 2.16
Rb 0.3750 0.5832 0.7500  2 N 3.24, 2 Sn 3.59

Output
Raw total energy in eV per cell: -25.57
V in Å³/f.u.: 172.4
Raw formation energy in eV per atom: 0.370
Crystal system: tetragonal

***

2.
Entry from the Alexandria database: an optimized crystal structure of ZnCdSbI2 (GGA-PBE).

a = 5.6118 Å, b = 5.6118 Å, c = 5.4262 Å
α = 90.00°, β = 90.00°, γ = 90.00°
Last column: nearest neighbours and their distance in Å.
Fractional coordinates of all 5 atoms:
I 0.0000 0.5000 0.0000  2 Zn 2.81
Zn 0.0000 0.0000 0.0000  2 Sb 2.71, 4 I 2.81
I 0.5000 0.0000 0.0000  2 Zn 2.81
Sb 0.0000 0.0000 0.5000  2 Zn 2.71
Cd 0.5000 0.5000 0.5000  8 I 3.90, 4 Sb 3.97

Output
Raw total energy in eV per cell: -8.21
V in Å³/f.u.: 170.9
Raw formation energy in eV per atom: 0.240
Crystal system: tetragonal

***

It is found that the density of states at the Fermi level values, taken in the order of the records, are 2.0; 3.4 states/eV/f.u..